Material: K3ZrI7
Method: DFT, PBE
State: relaxed

Mass density: 3.64 g/cm³
Formation energy without anion corrections: -1.129 eV per atom
Crystal system: monoclinic
Calculated total energy: -3.192 eV/atom

Unit cell a=12.113 b=11.146 c=9.106 alpha=90.00 beta=125.43 gamma=90.00
Space group Cm (No. 8)
Symmetry-distinct sites (fractional):
K  0.000  0.000  0.000 x2
K  0.014  0.279  0.602 x4
Zr  0.064  0.500  0.158 x2
I  0.128  0.250  0.309 x4
I  0.208  0.500  0.993 x2
I  0.360  0.500  0.521 x2
I  0.365  0.165  0.844 x4
I  0.374  0.000  0.256 x2